# ZnOs2Pt | Alexandria | PBE | optimized geometry
# space-group type	Imm2, No. 44
# raw total energy	-7.15	eV per atom
# formation energy	28.0	kJ per mole of atoms
data_ZnOs2Pt
_cell_length_a 5.055
_cell_length_b 5.055
_cell_length_c 5.055
_cell_angle_alpha 144.65
_cell_angle_beta 128.32
_cell_angle_gamma 64.17
_space_group_name_H-M_alt 'P 1'
_space_group_IT_number 1
loop_
_space_group_symop_operation_xyz
'x,y,z'
loop_
_atom_site_label
_atom_site_type_symbol
_atom_site_fract_x
_atom_site_fract_y
_atom_site_fract_z
_atom_site_occupancy
Zn1 Zn 0.000 0.000 0.000 1
Os1 Os 0.240 0.740 0.500 1
Os2 Os 0.496 0.496 0.000 1
Pt1 Pt 0.767 0.267 0.500 1



# Sr2InAg | Alexandria | PBE | optimized geometry
# space-group type	P2_1/m, No. 11
# raw total energy	-2.57	eV per atom
# formation energy	-32.4	kJ per mole of atoms
data_Sr2InAg
_cell_length_a 6.457
_cell_length_b 4.880
_cell_length_c 9.314
_cell_angle_alpha 90.00
_cell_angle_beta 108.87
_cell_angle_gamma 90.00
_space_group_name_H-M_alt 'P 1'
_space_group_IT_number 1
loop_
_space_group_symop_operation_xyz
'x,y,z'
loop_
_atom_site_label
_atom_site_type_symbol
_atom_site_fract_x
_atom_site_fract_y
_atom_site_fract_z
_atom_site_occupancy
Sr1 Sr 0.207 0.250 0.426 1
Sr2 Sr 0.281 0.750 0.068 1
Sr3 Sr 0.719 0.250 0.932 1
Sr4 Sr 0.793 0.750 0.574 1
In1 In 0.357 0.750 0.717 1
In2 In 0.643 0.250 0.283 1
Ag1 Ag 0.159 0.250 0.783 1
Ag2 Ag 0.841 0.750 0.217 1



# YSn6Ru4 | Alexandria | PBE | optimized geometry
# space-group type	I-42m, No. 121
# raw total energy	-6.47	eV per atom
# formation energy	-31.4	kJ per mole of atoms
data_YSn6Ru4
_cell_length_a 6.949
_cell_length_b 6.949
_cell_length_c 6.949
_cell_angle_alpha 120.40
_cell_angle_beta 120.40
_cell_angle_gamma 89.30
_space_group_name_H-M_alt 'P 1'
_space_group_IT_number 1
loop_
_space_group_symop_operation_xyz
'x,y,z'
loop_
_atom_site_label
_atom_site_type_symbol
_atom_site_fract_x
_atom_site_fract_y
_atom_site_fract_z
_atom_site_occupancy
Y1 Y 0.000 0.000 0.000 1
Sn1 Sn 0.000 0.500 0.500 1
Sn2 Sn 0.118 0.118 0.650 1
Sn3 Sn 0.468 0.468 0.350 1
Sn4 Sn 0.500 0.000 0.500 1
Sn5 Sn 0.532 0.882 0.000 1
Sn6 Sn 0.882 0.532 0.000 1
Ru1 Ru 0.249 0.597 0.000 1
Ru2 Ru 0.403 0.403 0.652 1
Ru3 Ru 0.597 0.249 0.000 1
Ru4 Ru 0.751 0.751 0.348 1



# Sr2NiPb | Alexandria | PBE | optimized geometry
# space-group type	Amm2, No. 38
# raw total energy	-3.42	eV per atom
# formation energy	-20.2	kJ per mole of atoms
data_Sr2NiPb
_cell_length_a 4.598
_cell_length_b 6.179
_cell_length_c 6.179
_cell_angle_alpha 47.40
_cell_angle_beta 90.00
_cell_angle_gamma 90.00
_space_group_name_H-M_alt 'P 1'
_space_group_IT_number 1
loop_
_space_group_symop_operation_xyz
'x,y,z'
loop_
_atom_site_label
_atom_site_type_symbol
_atom_site_fract_x
_atom_site_fract_y
_atom_site_fract_z
_atom_site_occupancy
Sr1 Sr 0.000 0.000 0.000 1
Sr2 Sr 0.500 0.290 0.290 1
Ni1 Ni 0.000 0.706 0.706 1
Pb1 Pb 0.500 0.594 0.594 1